Run 1
Computed, not measured: SmYRuAu after structural relaxation at the PBE-GGA level of DFT.

Total magnetic moment (μB per atom): 0.000
Space group: P4mm, No. 99
Volume (Å³ per atom): 22.3

a b c (Å): 3.4787 3.4787 7.3624
angles (deg): 90.00 90.00 90.00
With the nearest neighbours (Å) after each atom.
Fractional positions:
1 Sm 0.0000 0.0000 0.0000  4 Ru 3.01, 4 Au 3.20
2 Y 0.0000 0.0000 0.4621  4 Ru 2.98, 4 Au 3.11
3 Ru 0.5000 0.5000 0.2348  4 Y 2.98, 4 Sm 3.01
4 Au 0.5000 0.5000 0.7211  4 Y 3.11, 4 Sm 3.20, 4 Au 3.48

---

Run 2
Computed, not measured: SmYRuAu after structural relaxation at the PBE-GGA level of DFT.

Total magnetic moment (μB per atom): 0.000
Space group: F-43m, No. 216
Volume (Å³ per atom): 22.2

a b c (Å): 7.0859 7.0859 7.0859
angles (deg): 90.00 90.00 90.00
With the nearest neighbours (Å) after each atom.
Fractional positions:
1 Sm 0.0000 0.0000 0.0000  4 Ru 3.07, 4 Au 3.07
2 Sm 0.0000 0.5000 0.5000  4 Ru 3.07, 4 Au 3.07
3 Sm 0.5000 0.0000 0.5000  4 Ru 3.07, 4 Au 3.07
4 Sm 0.5000 0.5000 0.0000  4 Ru 3.07, 4 Au 3.07
5 Y 0.0000 0.0000 0.5000  4 Ru 3.07, 4 Au 3.07
6 Y 0.0000 0.5000 0.0000  4 Ru 3.07, 4 Au 3.07
7 Y 0.5000 0.0000 0.0000  4 Ru 3.07, 4 Au 3.07
8 Y 0.5000 0.5000 0.5000  4 Ru 3.07, 4 Au 3.07
9 Ru 0.2500 0.2500 0.7500  4 Sm 3.07, 4 Y 3.07
10 Ru 0.2500 0.7500 0.2500  4 Sm 3.07, 4 Y 3.07
11 Ru 0.7500 0.2500 0.2500  4 Sm 3.07, 4 Y 3.07
12 Ru 0.7500 0.7500 0.7500  4 Sm 3.07, 4 Y 3.07
13 Au 0.2500 0.2500 0.2500  4 Sm 3.07, 4 Y 3.07
14 Au 0.2500 0.7500 0.7500  4 Sm 3.07, 4 Y 3.07
15 Au 0.7500 0.2500 0.7500  4 Sm 3.07, 4 Y 3.07
16 Au 0.7500 0.7500 0.2500  4 Sm 3.07, 4 Y 3.07

---

Which of them is the most stable, and which is the least stable? run 1 and run 2, in that order.

---

Run 1
Computed, not measured: Sn2Ru2Au after structural relaxation at the PBE-GGA level of DFT.

Total magnetic moment (μB per atom): 0.000
Space group: P4/mbm, No. 127
Volume (Å³ per atom): 18.4

a b c (Å): 7.5074 7.5074 3.2561
angles (deg): 90.00 90.00 90.00
With the nearest neighbours (Å) after each atom.
Fractional positions:
1 Sn 0.1574 0.3426 0.0000  6 Ru 2.69-2.77
2 Sn 0.3426 0.8426 0.0000  6 Ru 2.69-2.77
3 Sn 0.6574 0.1574 0.0000  6 Ru 2.69-2.77
4 Sn 0.8426 0.6574 0.0000  6 Ru 2.69-2.77
5 Ru 0.1411 0.6411 0.5000  6 Sn 2.69-2.77, 2 Au 2.90, 1 Ru 3.00
6 Ru 0.3589 0.1411 0.5000  6 Sn 2.69-2.77, 2 Au 2.90, 1 Ru 3.00
7 Ru 0.6411 0.8589 0.5000  6 Sn 2.69-2.77, 2 Au 2.90, 1 Ru 3.00
8 Ru 0.8589 0.3589 0.5000  6 Sn 2.69-2.77, 2 Au 2.90, 1 Ru 3.00
9 Au 0.0000 0.0000 0.5000  4 Ru 2.90
10 Au 0.5000 0.5000 0.5000  4 Ru 2.90

---

Run 2
Computed, not measured: Sn2Ru2Au after structural relaxation at the PBE-GGA level of DFT.

Total magnetic moment (μB per atom): 0.000
Space group: P4/mbm, No. 127
Volume (Å³ per atom): 18.1

a b c (Å): 7.6339 7.6339 3.1009
angles (deg): 90.00 90.00 90.00
With the nearest neighbours (Å) after each atom.
Fractional positions:
1 Sn 0.1507 0.3493 0.0000  6 Ru 2.69-2.74, 2 Au 2.90
2 Sn 0.3493 0.8493 0.0000  6 Ru 2.69-2.74, 2 Au 2.90
3 Sn 0.6507 0.1507 0.0000  6 Ru 2.69-2.74, 2 Au 2.90
4 Sn 0.8493 0.6507 0.0000  6 Ru 2.69-2.74, 2 Au 2.90
5 Ru 0.1455 0.6455 0.5000  6 Sn 2.69-2.74
6 Ru 0.3545 0.1455 0.5000  6 Sn 2.69-2.74
7 Ru 0.6455 0.8545 0.5000  6 Sn 2.69-2.74
8 Ru 0.8545 0.3545 0.5000  6 Sn 2.69-2.74
9 Au 0.0000 0.0000 0.0000  4 Sn 2.90, 2 Au 3.10
10 Au 0.5000 0.5000 0.0000  4 Sn 2.90, 2 Au 3.10

---

Which of them is the most stable, and which is the least stable? run 1 and run 2, in that order.

---

Run 1
Computed, not measured: Sn2RuAu after structural relaxation at the PBE-GGA level of DFT.

Total magnetic moment (μB per atom): 0.000
Space group: Fm-3m, No. 225
Volume (Å³ per atom): 19.3

a b c (Å): 6.7617 6.7617 6.7617
angles (deg): 90.00 90.00 90.00
With the nearest neighbours (Å) after each atom.
Fractional positions:
1 Sn 0.2500 0.2500 0.2500  4 Ru 2.93, 4 Au 2.93
2 Sn 0.2500 0.2500 0.7500  4 Ru 2.93, 4 Au 2.93
3 Sn 0.2500 0.7500 0.2500  4 Ru 2.93, 4 Au 2.93
4 Sn 0.2500 0.7500 0.7500  4 Ru 2.93, 4 Au 2.93
5 Sn 0.7500 0.2500 0.2500  4 Ru 2.93, 4 Au 2.93
6 Sn 0.7500 0.2500 0.7500  4 Ru 2.93, 4 Au 2.93
7 Sn 0.7500 0.7500 0.2500  4 Ru 2.93, 4 Au 2.93
8 Sn 0.7500 0.7500 0.7500  4 Ru 2.93, 4 Au 2.93
9 Ru 0.0000 0.0000 0.0000  8 Sn 2.93
10 Ru 0.0000 0.5000 0.5000  8 Sn 2.93
11 Ru 0.5000 0.0000 0.5000  8 Sn 2.93
12 Ru 0.5000 0.5000 0.0000  8 Sn 2.93
13 Au 0.0000 0.0000 0.5000  8 Sn 2.93
14 Au 0.0000 0.5000 0.0000  8 Sn 2.93
15 Au 0.5000 0.0000 0.0000  8 Sn 2.93
16 Au 0.5000 0.5000 0.5000  8 Sn 2.93

---

Run 2
Computed, not measured: Sn2RuAu after structural relaxation at the PBE-GGA level of DFT.

Total magnetic moment (μB per atom): 0.000
Space group: I-42d, No. 122
Volume (Å³ per atom): 28.4

a b c (Å): 6.2368 6.2368 11.6930
angles (deg): 90.00 90.00 90.00
With the nearest neighbours (Å) after each atom.
Fractional positions:
1 Sn 0.2239 0.2500 0.1250  2 Ru 2.55, 2 Au 2.74
2 Sn 0.2500 0.7239 0.3750  2 Ru 2.55, 2 Au 2.74
3 Sn 0.2500 0.7761 0.8750  2 Ru 2.55, 2 Au 2.74
4 Sn 0.2761 0.2500 0.6250  2 Ru 2.55, 2 Au 2.74
5 Sn 0.7239 0.7500 0.6250  2 Ru 2.55, 2 Au 2.74
6 Sn 0.7500 0.2239 0.8750  2 Ru 2.55, 2 Au 2.74
7 Sn 0.7500 0.2761 0.3750  2 Ru 2.55, 2 Au 2.74
8 Sn 0.7761 0.7500 0.1250  2 Ru 2.55, 2 Au 2.74
9 Ru 0.0000 0.0000 0.0000  4 Sn 2.55
10 Ru 0.0000 0.5000 0.2500  4 Sn 2.55
11 Ru 0.5000 0.0000 0.7500  4 Sn 2.55
12 Ru 0.5000 0.5000 0.5000  4 Sn 2.55
13 Au 0.0000 0.0000 0.5000  4 Sn 2.74
14 Au 0.0000 0.5000 0.7500  4 Sn 2.74
15 Au 0.5000 0.0000 0.2500  4 Sn 2.74
16 Au 0.5000 0.5000 0.0000  4 Sn 2.74

---

Run 3
Computed, not measured: Sn2RuAu after structural relaxation at the PBE-GGA level of DFT.

Total magnetic moment (μB per atom): 0.000
Space group: R-3m, No. 166
Volume (Å³ per atom): 21.4

a b c (Å): 3.1928 3.1928 29.1315
angles (deg): 90.00 90.00 120.00
With the nearest neighbours (Å) after each atom.
Fractional positions:
1 Sn 0.0000 0.0000 0.0877  1 Ru 2.56
2 Sn 0.0000 0.0000 0.9123  1 Ru 2.56
3 Sn 0.3333 0.6667 0.5789  1 Ru 2.56
4 Sn 0.3333 0.6667 0.7544  1 Ru 2.56
5 Sn 0.6667 0.3333 0.2456  1 Ru 2.56
6 Sn 0.6667 0.3333 0.4211  1 Ru 2.56
7 Ru 0.0000 0.0000 0.0000  2 Sn 2.56
8 Ru 0.3333 0.6667 0.6667  2 Sn 2.56
9 Ru 0.6667 0.3333 0.3333  2 Sn 2.56
10 Au 0.0000 0.0000 0.5000  6 Sn 2.95, 6 Au 3.19
11 Au 0.3333 0.6667 0.1667  6 Sn 2.95, 6 Au 3.19
12 Au 0.6667 0.3333 0.8333  6 Sn 2.95, 6 Au 3.19

---

Which of them is the most stable, and which is the least stable? run 1 and run 3, in that order.

---

Run 1
Computed, not measured: SrRuAu2 after structural relaxation at the PBE-GGA level of DFT.

Total magnetic moment (μB per atom): 0.001
Space group: C2/m, No. 12
Volume (Å³ per atom): 23.9

a b c (Å): 7.9272 4.5773 5.8909
angles (deg): 90.00 116.72 90.00
With the nearest neighbours (Å) after each atom.
Fractional positions:
1 Sr 0.0000 0.0000 0.0000  8 Au 3.17-3.37
2 Sr 0.5000 0.5000 0.0000  8 Au 3.17-3.37
3 Ru 0.0000 0.5000 0.5000  6 Au 2.70
4 Ru 0.5000 0.0000 0.5000  6 Au 2.70
5 Au 0.2011 0.0000 0.6032  3 Ru 2.70, 3 Au 2.86
6 Au 0.2989 0.5000 0.3968  3 Ru 2.70, 3 Au 2.86
7 Au 0.7011 0.5000 0.6032  3 Ru 2.70, 3 Au 2.86
8 Au 0.7989 0.0000 0.3968  3 Ru 2.70, 3 Au 2.86

---

Run 2
Computed, not measured: SrRuAu2 after structural relaxation at the PBE-GGA level of DFT.

Total magnetic moment (μB per atom): 0.303
Space group: I-42d, No. 122
Volume (Å³ per atom): 27.9

a b c (Å): 5.0624 5.0624 17.4045
angles (deg): 90.00 90.00 90.00
With the nearest neighbours (Å) after each atom.
Fractional positions:
1 Sr 0.0000 0.0000 0.0000  4 Au 3.17
2 Sr 0.0000 0.5000 0.2500  4 Au 3.17
3 Sr 0.5000 0.0000 0.7500  4 Au 3.17
4 Sr 0.5000 0.5000 0.5000  4 Au 3.17
5 Ru 0.0000 0.0000 0.5000  4 Au 2.59
6 Ru 0.0000 0.5000 0.7500  4 Au 2.59
7 Ru 0.5000 0.0000 0.2500  4 Au 2.59
8 Ru 0.5000 0.5000 0.0000  4 Au 2.59
9 Au 0.1192 0.2500 0.6250  2 Ru 2.59, 2 Au 2.80
10 Au 0.2500 0.6192 0.8750  2 Ru 2.59, 2 Au 2.80
11 Au 0.2500 0.8808 0.3750  2 Ru 2.59, 2 Au 2.80
12 Au 0.3808 0.2500 0.1250  2 Ru 2.59, 2 Au 2.80
13 Au 0.6192 0.7500 0.1250  2 Ru 2.59, 2 Au 2.80
14 Au 0.7500 0.1192 0.3750  2 Ru 2.59, 2 Au 2.80
15 Au 0.7500 0.3808 0.8750  2 Ru 2.59, 2 Au 2.80
16 Au 0.8808 0.7500 0.6250  2 Ru 2.59, 2 Au 2.80

---

Run 3
Computed, not measured: SrRuAu2 after structural relaxation at the PBE-GGA level of DFT.

Total magnetic moment (μB per atom): 0.000
Space group: R3m, No. 160
Volume (Å³ per atom): 24.3

a b c (Å): 4.6014 4.6014 15.9116
angles (deg): 90.00 90.00 120.00
With the nearest neighbours (Å) after each atom.
Fractional positions:
1 Sr 0.0000 0.0000 0.0000  1 Ru 2.98, 1 Au 3.12
2 Sr 0.3333 0.6667 0.6667  1 Ru 2.98, 1 Au 3.12
3 Sr 0.6667 0.3333 0.3333  1 Ru 2.98, 1 Au 3.12
4 Ru 0.0000 0.0000 0.8126  6 Au 2.66-2.77
5 Ru 0.3333 0.6667 0.4793  6 Au 2.66-2.77
6 Ru 0.6667 0.3333 0.1459  6 Au 2.66-2.77
7 Au 0.0000 0.0000 0.1960  3 Ru 2.77, 3 Au 2.81
8 Au 0.0000 0.0000 0.4724  3 Ru 2.66, 3 Au 2.81
9 Au 0.3333 0.6667 0.1390  3 Ru 2.66, 3 Au 2.81
10 Au 0.3333 0.6667 0.8627  3 Ru 2.77, 3 Au 2.81
11 Au 0.6667 0.3333 0.5294  3 Ru 2.77, 3 Au 2.81
12 Au 0.6667 0.3333 0.8057  3 Ru 2.66, 3 Au 2.81

---

Which of them is the most stable, and which is the least stable? run 1 and run 2, in that order.

---

Run 1
Computed, not measured: SrRuAu2 after structural relaxation at the PBE-GGA level of DFT.

Total magnetic moment (μB per atom): 0.197
Space group: P4/mmm, No. 123
Volume (Å³ per atom): 21.2

a b c (Å): 3.4938 3.4938 6.9542
angles (deg): 90.00 90.00 90.00
With the nearest neighbours (Å) after each atom.
Fractional positions:
1 Sr 0.0000 0.0000 0.0000  8 Au 3.23, 2 Ru 3.48, 4 Sr 3.49
2 Ru 0.0000 0.0000 0.5000  8 Au 2.83
3 Au 0.5000 0.5000 0.3002  1 Au 2.78, 4 Ru 2.83
4 Au 0.5000 0.5000 0.6998  1 Au 2.78, 4 Ru 2.83

---

Run 2
Computed, not measured: SrRuAu2 after structural relaxation at the PBE-GGA level of DFT.

Total magnetic moment (μB per atom): 0.000
Space group: Fm-3m, No. 225
Volume (Å³ per atom): 21.1

a b c (Å): 6.9607 6.9607 6.9607
angles (deg): 90.00 90.00 90.00
With the nearest neighbours (Å) after each atom.
Fractional positions:
1 Sr 0.0000 0.0000 0.0000  8 Au 3.01
2 Sr 0.0000 0.5000 0.5000  8 Au 3.01
3 Sr 0.5000 0.0000 0.5000  8 Au 3.01
4 Sr 0.5000 0.5000 0.0000  8 Au 3.01
5 Ru 0.0000 0.0000 0.5000  8 Au 3.01
6 Ru 0.0000 0.5000 0.0000  8 Au 3.01
7 Ru 0.5000 0.0000 0.0000  8 Au 3.01
8 Ru 0.5000 0.5000 0.5000  8 Au 3.01
9 Au 0.2500 0.2500 0.2500  4 Ru 3.01, 4 Sr 3.01
10 Au 0.2500 0.2500 0.7500  4 Ru 3.01, 4 Sr 3.01
11 Au 0.2500 0.7500 0.2500  4 Ru 3.01, 4 Sr 3.01
12 Au 0.2500 0.7500 0.7500  4 Ru 3.01, 4 Sr 3.01
13 Au 0.7500 0.2500 0.2500  4 Ru 3.01, 4 Sr 3.01
14 Au 0.7500 0.2500 0.7500  4 Ru 3.01, 4 Sr 3.01
15 Au 0.7500 0.7500 0.2500  4 Ru 3.01, 4 Sr 3.01
16 Au 0.7500 0.7500 0.7500  4 Ru 3.01, 4 Sr 3.01

---

Which of them is the most stable, and which is the least stable? run 1 and run 2, in that order.

---

Run 1
Computed, not measured: SrRuAu2 after structural relaxation at the PBE-GGA level of DFT.

Total magnetic moment (μB per atom): 0.000
Space group: P4mm, No. 99
Volume (Å³ per atom): 21.8

a b c (Å): 3.6229 3.6229 6.6342
angles (deg): 90.00 90.00 90.00
With the nearest neighbours (Å) after each atom.
Fractional positions:
1 Sr 0.0000 0.0000 0.0000  5 Au 3.06-3.14, 4 Ru 3.32
2 Ru 0.5000 0.5000 0.6814  5 Au 2.70-2.73
3 Au 0.0000 0.0000 0.5381  4 Ru 2.73
4 Au 0.5000 0.5000 0.2739  1 Ru 2.70

---

Run 2
Computed, not measured: SrRuAu2 after structural relaxation at the PBE-GGA level of DFT.

Total magnetic moment (μB per atom): 0.000
Space group: P4/mmm, No. 123
Volume (Å³ per atom): 20.4

a b c (Å): 4.7213 4.7213 3.6660
angles (deg): 90.00 90.00 90.00
With the nearest neighbours (Å) after each atom.
Fractional positions:
1 Sr 0.0000 0.0000 0.0000  8 Au 2.99, 4 Ru 3.34
2 Ru 0.5000 0.5000 0.0000  8 Au 2.99, 4 Sr 3.34
3 Au 0.0000 0.5000 0.5000  4 Ru 2.99, 4 Sr 2.99, 4 Au 3.34
4 Au 0.5000 0.0000 0.5000  4 Ru 2.99, 4 Sr 2.99, 4 Au 3.34

---

Which of them is the most stable, and which is the least stable? run 2 and run 1, in that order.